[1]
This record from the Alexandria database describes an optimized crystal structure of Si2Pt2W. The functional is PBE-GGA.

a = 7.0210 Å, b = 7.0210 Å, c = 2.9569 Å
α = 90.00°, β = 90.00°, γ = 90.00°
Closest atoms and distances in Å follow each position.
Element x y z (fractional)
Si1 0.1514 0.3486 0.0000  6 Pt 2.49-2.56, 2 W 2.67
Si2 0.3486 0.8486 0.0000  6 Pt 2.49-2.56, 2 W 2.67
Si3 0.6514 0.1514 0.0000  6 Pt 2.49-2.56, 2 W 2.67
Si4 0.8486 0.6514 0.0000  6 Pt 2.49-2.56, 2 W 2.67
Pt1 0.1470 0.6470 0.5000  6 Si 2.49-2.56
Pt2 0.3530 0.1470 0.5000  6 Si 2.49-2.56
Pt3 0.6470 0.8530 0.5000  6 Si 2.49-2.56
Pt4 0.8530 0.3530 0.5000  6 Si 2.49-2.56
W1 0.0000 0.0000 0.0000  4 Si 2.67, 2 W 2.96
W2 0.5000 0.5000 0.0000  4 Si 2.67, 2 W 2.96

Summary:
Uncorrected formation energy, eV/f.u.: -1.14
Density of states at the Fermi level, states/eV per atom: 0.21
Energy above the lowest structure with this stoichiometry, kJ/mol of atoms: 0.00

=====

[2]
This record from the Alexandria database describes an optimized crystal structure of SiPtW2. The functional is PBE-GGA.

a = 2.7572 Å, b = 2.7572 Å, c = 7.9805 Å
α = 90.00°, β = 90.00°, γ = 90.00°
Closest atoms and distances in Å follow each position.
Element x y z (fractional)
Si1 0.0000 0.0000 0.0000  4 Pt 2.67, 4 W 2.72, 4 Si 2.76
Pt1 0.5000 0.5000 0.7722  4 Si 2.67, 4 Pt 2.76, 4 W 2.85
W1 0.0000 0.0000 0.5112  8 W 2.76-2.92, 4 Pt 2.85
W2 0.5000 0.5000 0.2384  4 Si 2.72, 8 W 2.76-2.92

Summary:
Uncorrected formation energy, eV/f.u.: 0.20
Density of states at the Fermi level, states/eV per atom: 0.86

=====

[3]
This record from the Alexandria database describes an optimized crystal structure of SiPtW2. The functional is PBE-GGA.

a = 3.4426 Å, b = 4.0737 Å, c = 4.3291 Å
α = 90.00°, β = 90.00°, γ = 90.00°
Closest atoms and distances in Å follow each position.
Element x y z (fractional)
Si1 0.0000 0.0000 0.0000  4 Pt 2.67, 8 W 2.77-2.97
Pt1 0.5000 0.5000 0.0000  4 Si 2.67, 8 W 2.77-2.97
W1 0.0000 0.5000 0.5000  4 W 2.67, 4 Pt 2.77, 4 Si 2.97
W2 0.5000 0.0000 0.5000  4 W 2.67, 4 Si 2.77, 4 Pt 2.97

Summary:
Uncorrected formation energy, eV/f.u.: 0.07
Density of states at the Fermi level, states/eV per atom: 0.60

=====

The lowest density of states at the Fermi level belongs to which entry? Si2Pt2W

=====

Look up the uncorrected formation energy of the first one. -1.14 eV/f.u.